Entry 1:
MgGaFeIr | GGA-PBE | relaxed

a b c (Å): 6.144 6.144 6.144
angles (deg): 90.00 90.00 90.00
Space group F-43m (No. 216)
Asymmetric unit:
Mg1 0.000 0.000 0.000 x4
Ga1 0.250 0.250 0.750 x4
Fe1 0.250 0.250 0.250 x4
Ir1 0.000 0.000 0.500 x4

Calculated volume   14.50 Å³/atom
ΔH_f (0 K)   -197 meV/atom

***

Entry 2:
Cu2TePd5 | GGA-PBE | relaxed

a b c (Å): 7.443 8.154 8.154
angles (deg): 90.00 90.00 90.00
Space group Fmm2 (No. 42)
Asymmetric unit:
Cu1 0.000 0.250 0.000 x8
Te1 0.000 0.000 0.250 x4
Pd1 0.000 0.000 0.749 x4
Pd2 0.249 0.000 0.000 x8
Pd3 0.250 0.250 0.250 x8

Calculated volume   15.46 Å³/atom
Raw formation energy   -0.146 eV per atom

***

Entry 3:
KTaBr | GGA-PBE | relaxed

a b c (Å): 3.643 5.286 15.500
angles (deg): 90.00 90.00 90.00
Space group Fmm2 (No. 42)
Asymmetric unit:
K1 0.000 0.000 0.000 x4
Ta1 0.000 0.000 0.696 x4
Br1 0.000 0.000 0.327 x4

Calculated volume   24.87 Å³/atom
Raw formation energy   0.532 eV per atom
Relative energy among the computed polymorphs   124.8 meV per atom

***

Entry 4:
Ni3HRh | GGA-PBE | relaxed

a b c (Å): 4.561 4.561 4.561
angles (deg): 90.00 90.00 90.00
Space group Pm-3m (No. 221)
Asymmetric unit:
Ni1 0.000 0.000 0.500 x3
H1 0.500 0.500 0.500 x1
Rh1 0.000 0.000 0.000 x1

Calculated volume   18.98 Å³/atom
Relative energy among the computed polymorphs   1678.1 meV per atom